# 1
# BeMo2Se

BeMo2Se after structural relaxation (GGA-PBE, Alexandria via LeMat-Bulk).

Results
D(E_F): 6.71 states/eV per cell
E_form (uncorrected): 0.197 eV per atom

Cell: 3.3257 3.3257 18.6628 Å, 90.00 90.00 120.00°
Last column: nearest neighbours and their distance in Å.
Space group R-3m (No. 166, hexagonal axes)
Asymmetric unit:
Be 0.0000 0.0000 0.0000 x3  6 Mo 2.24
Mo 0.0000 0.0000 0.2712 x6  3 Be 2.24
Se 0.0000 0.0000 0.5000 x3  6 Mo 2.74

---

# 2
# Be4MoSe

Be4MoSe after structural relaxation (GGA-PBE, Alexandria via LeMat-Bulk).

Results
D(E_F): 14.97 states/eV per cell
E_form (uncorrected): 0.144 eV per atom

Cell: 6.3565 6.3565 6.3565 Å, 90.00 90.00 90.00°
Last column: nearest neighbours and their distance in Å.
Space group F-43m (No. 216)
Asymmetric unit:
Be 0.1214 0.1214 0.3786 x16  6 Be 2.18-2.31
Mo 0.2500 0.2500 0.7500 x4  12 Be 2.63, 4 Se 2.75
Se 0.0000 0.0000 0.0000 x4  12 Be 2.64, 4 Mo 2.75

---

# 3
# BeMo2Se

BeMo2Se after structural relaxation (GGA-PBE, Alexandria via LeMat-Bulk).

Results
D(E_F): 5.83 states/eV per cell
E_form (uncorrected): 0.188 eV per atom

Cell: 8.7865 3.0663 4.3713 Å, 90.00 105.29 90.00°
Last column: nearest neighbours and their distance in Å.
Space group Cm (No. 8)
Asymmetric unit:
Be 0.0000 0.0000 0.0000 x2  7 Mo 2.51-2.74, 2 Se 2.68
Mo 0.2649 0.0000 0.8630 x2  3 Be 2.51-2.55, 4 Se 2.57-2.79, 1 Mo 2.79
Mo 0.4877 0.0000 0.5116 x2  3 Se 2.56-2.62, 4 Be 2.61-2.74, 1 Mo 2.79
Se 0.2393 0.5000 0.3189 x2  7 Mo 2.56-2.79, 2 Be 2.68